KHf2Cd | PBE-GGA | optimized geometry

Summary:
* space-group type: No. 122
* total energy: -0.1673 hartree per atom
* ΔE_f: 358 kJ/mol of formula units

a = 4.300 Å, b = 4.300 Å, c = 12.141 Å
α = 79.80°, β = 79.80°, γ = 90.00°
Atoms (fractional coordinates):
K 0.500 0.500 0.000
K 0.250 0.750 0.500
Hf 0.645 0.125 0.250
Hf 0.105 0.625 0.250
Hf 0.375 0.355 0.750
Hf 0.875 0.895 0.750
Cd 0.000 0.000 0.000
Cd 0.750 0.250 0.500